# 1
# BaLaMg2Tc | Alexandria via LeMat-Bulk | PBE | relaxed
# final energy: -20.0 eV per cell
# DOS at the Fermi energy: 4.9 states/eV/cell
# energy above the most stable polymorph in this dataset: 0 meV per atom
data_BaLaMg2Tc
_cell_length_a 5.509
_cell_length_b 5.509
_cell_length_c 5.113
_cell_angle_alpha 90.00
_cell_angle_beta 90.00
_cell_angle_gamma 90.00
_space_group_name_H-M_alt 'P 4/m m m'
_space_group_IT_number 123
_space_group_name_Hall '-P 4 2'
loop_
_atom_site_label
_atom_site_type_symbol
_atom_site_fract_x
_atom_site_fract_y
_atom_site_fract_z
Ba1 Ba 0.000 0.000 0.000
La1 La 0.500 0.500 0.000
Mg1 Mg 0.000 0.500 0.500
Tc1 Tc 0.500 0.500 0.500

# 2
# Ba3La3MgTe8 | Alexandria via LeMat-Bulk | PBE | relaxed
# final energy: -210.3 eV per cell
# DOS at the Fermi energy: 13.8 states/eV/cell
# formation energy without anion corrections: -1521.4 meV/atom
data_Ba3La3MgTe8
_cell_length_a 9.3176
_cell_length_b 9.3176
_cell_length_c 24.1193
_cell_angle_alpha 90.00
_cell_angle_beta 90.00
_cell_angle_gamma 120.00
_space_group_name_H-M_alt 'R -3 m'
_space_group_IT_number 166
_space_group_name_Hall '-R 3 2"'
loop_
_atom_site_label
_atom_site_type_symbol
_atom_site_fract_x
_atom_site_fract_y
_atom_site_fract_z
Ba1 Ba 0.0000 0.5000 0.0000
La1 La 0.0000 0.5000 0.5000
Mg1 Mg 0.0000 0.0000 0.5000
Te1 Te 0.0000 0.0000 0.2430
Te2 Te 0.0128 0.5064 0.2382

# 3
# BaLaMg2Tl2 | Alexandria via LeMat-Bulk | PBE | relaxed
# final energy: -16.7 eV per cell
# DOS at the Fermi energy: 3.3 states/eV/cell
data_BaLaMg2Tl2
_cell_length_a 5.1537
_cell_length_b 5.1537
_cell_length_c 8.4354
_cell_angle_alpha 90.00
_cell_angle_beta 90.00
_cell_angle_gamma 120.00
_space_group_name_H-M_alt 'P -3 m 1'
_space_group_IT_number 164
_space_group_name_Hall '-P 3 2"'
loop_
_atom_site_label
_atom_site_type_symbol
_atom_site_fract_x
_atom_site_fract_y
_atom_site_fract_z
Ba1 Ba 0.0000 0.0000 0.0000
La1 La 0.0000 0.0000 0.5000
Mg1 Mg 0.3333 0.6667 0.6962
Tl1 Tl 0.3333 0.6667 0.2940

# 4
# BaLaMgTl | Alexandria via LeMat-Bulk | PBE | relaxed
# final energy: -46.3 eV per cell
# DOS at the Fermi energy: 14.6 states/eV/cell
data_BaLaMgTl
_cell_length_a 8.257
_cell_length_b 8.257
_cell_length_c 8.257
_cell_angle_alpha 90.00
_cell_angle_beta 90.00
_cell_angle_gamma 90.00
_space_group_name_H-M_alt 'F -4 3 m'
_space_group_IT_number 216
_space_group_name_Hall 'F -4 2 3'
loop_
_atom_site_label
_atom_site_type_symbol
_atom_site_fract_x
_atom_site_fract_y
_atom_site_fract_z
Ba1 Ba 0.000 0.000 0.000
La1 La 0.000 0.000 0.500
Mg1 Mg 0.250 0.250 0.250
Tl1 Tl 0.250 0.250 0.750

# 5
# BaLa2MgTl4 | Alexandria via LeMat-Bulk | PBE | relaxed
# final energy: -76.3 eV per cell
# DOS at the Fermi energy: 23.2 states/eV/cell
data_BaLa2MgTl4
_cell_length_a 5.4485
_cell_length_b 5.4485
_cell_length_c 31.1806
_cell_angle_alpha 90.00
_cell_angle_beta 90.00
_cell_angle_gamma 120.00
_space_group_name_H-M_alt 'R -3 m'
_space_group_IT_number 166
_space_group_name_Hall '-R 3 2"'
loop_
_atom_site_label
_atom_site_type_symbol
_atom_site_fract_x
_atom_site_fract_y
_atom_site_fract_z
Ba1 Ba 0.0000 0.0000 0.0000
La1 La 0.0000 0.0000 0.2304
Mg1 Mg 0.0000 0.0000 0.5000
Tl1 Tl 0.0000 0.0000 0.1244
Tl2 Tl 0.0000 0.0000 0.3946

# 6
# BaLaMgZn | Alexandria via LeMat-Bulk | PBE | relaxed
# final energy: -39.7 eV per cell
# DOS at the Fermi energy: 12.9 states/eV/cell
data_BaLaMgZn
_cell_length_a 8.068
_cell_length_b 8.068
_cell_length_c 8.068
_cell_angle_alpha 90.00
_cell_angle_beta 90.00
_cell_angle_gamma 90.00
_space_group_name_H-M_alt 'F -4 3 m'
_space_group_IT_number 216
_space_group_name_Hall 'F -4 2 3'
loop_
_atom_site_label
_atom_site_type_symbol
_atom_site_fract_x
_atom_site_fract_y
_atom_site_fract_z
Ba1 Ba 0.000 0.000 0.000
La1 La 0.000 0.000 0.500
Mg1 Mg 0.250 0.250 0.750
Zn1 Zn 0.250 0.250 0.250

# 7
# BaLa2Mn | Alexandria via LeMat-Bulk | PBE | relaxed
# final energy: -38.2 eV per cell
# DOS at the Fermi energy: 13.5 states/eV/cell
# energy above the most stable polymorph in this dataset: 237 meV per atom
data_BaLa2Mn
_cell_length_a 5.075
_cell_length_b 5.075
_cell_length_c 10.603
_cell_angle_alpha 90.00
_cell_angle_beta 90.00
_cell_angle_gamma 90.00
_space_group_name_H-M_alt 'I -4 m 2'
_space_group_IT_number 119
_space_group_name_Hall 'I -4 -2'
loop_
_atom_site_label
_atom_site_type_symbol
_atom_site_fract_x
_atom_site_fract_y
_atom_site_fract_z
Ba1 Ba 0.000 0.000 0.000
La1 La 0.000 0.000 0.500
La2 La 0.000 0.500 0.750
Mn1 Mn 0.000 0.500 0.250

# 8
# Ba2La2Mn | Alexandria via LeMat-Bulk | PBE | relaxed
# final energy: -42.0 eV per cell
# DOS at the Fermi energy: 17.9 states/eV/cell
data_Ba2La2Mn
_cell_length_a 7.647
_cell_length_b 7.647
_cell_length_c 6.676
_cell_angle_alpha 90.00
_cell_angle_beta 90.00
_cell_angle_gamma 90.00
_space_group_name_H-M_alt 'P 4/m b m'
_space_group_IT_number 127
_space_group_name_Hall '-P 4 2ab'
loop_
_atom_site_label
_atom_site_type_symbol
_atom_site_fract_x
_atom_site_fract_y
_atom_site_fract_z
Ba1 Ba 0.183 0.317 0.000
La1 La 0.171 0.671 0.500
Mn1 Mn 0.000 0.000 0.500

> The lowest DOS at the Fermi energy belongs to which entry?

BaLaMg2Tl2

> Which value of final energy does entry 8 give?

-42.0 eV per cell